# TbPuZn10 PBE optimized geometry
data_TbPuZn10
_space_group_name_H-M_alt 'P 1'
_space_group_IT_number 1
_cell_length_a 4.2464
_cell_length_b 5.3199
_cell_length_c 9.2317
_cell_angle_alpha 90.00
_cell_angle_beta 90.00
_cell_angle_gamma 90.00
loop_
_space_group_symop_operation_xyz
'x,y,z'
loop_
_atom_site_label
_atom_site_fract_x
_atom_site_fract_y
_atom_site_fract_z
Tb1 0.0000 0.5000 0.5000
Pu1 0.0000 0.0000 0.0000
Zn1 0.0000 0.0000 0.3349
Zn2 0.0000 0.5000 0.8321
Zn3 0.0000 0.5000 0.1679
Zn4 0.0000 0.0000 0.6651
Zn5 0.5000 0.0000 0.5000
Zn6 0.5000 0.5000 0.0000
Zn7 0.5000 0.2498 0.2504
Zn8 0.5000 0.7502 0.7496
Zn9 0.5000 0.7502 0.2504
Zn10 0.5000 0.2498 0.7496
# Calculated formation energy: -0.1997 eV/atom
# V: 208.5 Å³ per cell
# VASP energy: -34.098 eV per cell
# Space group: Pmmm